# KLi4AlO4, optimized geometry, DFT GGA-PBEsol
data_KLi4AlO4
_cell_length_a 5.524
_cell_length_b 15.325
_cell_length_c 10.988
_cell_angle_alpha 90.00
_cell_angle_beta 109.56
_cell_angle_gamma 90.00
_symmetry_space_group_name_H-M 'P 1 21/c 1'
_symmetry_Int_Tables_number 14
loop_
_symmetry_equiv_pos_as_xyz
'x,y,z'
'-x,-y,-z'
'-x,y+1/2,-z+1/2'
'x,-y+1/2,z+1/2'
loop_
_atom_site_label
_atom_site_fract_x
_atom_site_fract_y
_atom_site_fract_z
K1 0.050 0.072 0.166
K2 0.405 0.703 0.271
Li1 0.060 0.577 0.042
Li2 0.089 0.623 0.771
Li3 0.108 0.738 0.477
Li4 0.215 0.161 0.628
Li5 0.311 0.520 0.923
Li6 0.329 0.620 0.627
Li7 0.359 0.067 0.977
Li8 0.473 0.154 0.493
Al1 0.189 0.226 0.881
Al2 0.384 0.016 0.704
O1 0.036 0.133 0.922
O2 0.048 0.036 0.640
O3 0.064 0.238 0.709
O4 0.098 0.182 0.451
O5 0.441 0.565 0.101
O6 0.450 0.610 0.825
O7 0.471 0.715 0.551
O8 0.497 0.003 0.131
# Uncorrected formation energy (eV/atom): -2.151


# Si2Pb3O7, optimized geometry, DFT GGA-PBEsol
data_Si2Pb3O7
_cell_length_a 10.1024
_cell_length_b 10.1024
_cell_length_c 38.6678
_cell_angle_alpha 90.00
_cell_angle_beta 90.00
_cell_angle_gamma 120.00
_symmetry_space_group_name_H-M 'R -3 c'
_symmetry_Int_Tables_number 167
_symmetry_space_group_name_Hall '-R 3 2"c'
loop_
_atom_site_label
_atom_site_fract_x
_atom_site_fract_y
_atom_site_fract_z
Si1 0.0087 0.4020 0.0486
Pb1 0.0000 0.0000 0.1601
Pb2 0.0000 0.0000 0.2500
Pb3 0.0267 0.2694 0.9616
O1 0.0000 0.3862 0.7500
O2 0.0425 0.2009 0.7076
O3 0.0468 0.2721 0.1504
O4 0.0504 0.4742 0.5586
# Uncorrected formation energy (eV/atom): -2.001


# BeAg2Te, optimized geometry, DFT GGA-PBEsol
data_BeAg2Te
_cell_length_a 4.307
_cell_length_b 4.092
_cell_length_c 4.336
_cell_angle_alpha 90.00
_cell_angle_beta 99.15
_cell_angle_gamma 90.00
_symmetry_space_group_name_H-M 'P 1 2/m 1'
_symmetry_Int_Tables_number 10
loop_
_symmetry_equiv_pos_as_xyz
'x,y,z'
'-x,-y,-z'
'-x,y,-z'
'x,-y,z'
loop_
_atom_site_label
_atom_site_fract_x
_atom_site_fract_y
_atom_site_fract_z
Be1 0.000 0.000 0.000
Ag1 0.201 0.500 0.798
Te1 0.500 0.000 0.500
# Energy relative to the lowest polymorph listed for this composition (meV/atom): 90.5
# Uncorrected formation energy (eV/atom): 0.257


# Y2SbCl, optimized geometry, DFT GGA-PBEsol
data_Y2SbCl
_cell_length_a 7.247
_cell_length_b 7.247
_cell_length_c 7.247
_cell_angle_alpha 90.00
_cell_angle_beta 90.00
_cell_angle_gamma 90.00
_symmetry_space_group_name_H-M 'F m -3 m'
_symmetry_Int_Tables_number 225
_symmetry_space_group_name_Hall '-F 4 2 3'
loop_
_atom_site_label
_atom_site_fract_x
_atom_site_fract_y
_atom_site_fract_z
Y1 0.250 0.250 0.250
Sb1 0.000 0.000 0.000
Cl1 0.000 0.000 0.500
# Energy relative to the lowest polymorph listed for this composition (meV/atom): 41.8
# Uncorrected formation energy (eV/atom): -1.169


no.,energy (eV/atom)
1,-5.560
2,-7.021
3,-3.280
4,-6.222